{
  "formula": "Ca2VPbF8",
  "functional": "GGA+U",
  "state": "optimized geometry",
  "spacegroup": "P2/m",
  "dft_energy_ev_per_cell": -68.31,
  "n_ef_per_ev_cell": 0.000,
  "cell": [[4.134, 0.000, 0.000], [0.000, 7.665, 0.000], [-0.375, 0.000, 5.524]],
  "species": ["Ca", "Ca", "V", "Pb", "F", "F", "F", "F", "F", "F", "F", "F"],
  "fractional_positions": [[0.000, 0.236, 0.000], [0.000, 0.764, 0.000], [0.500, 0.000, 0.500], [0.500, 0.500, 0.500], [0.002, 0.500, 0.768], [0.067, 0.000, 0.257], [0.458, 0.223, 0.751], [0.458, 0.777, 0.751], [0.542, 0.223, 0.249], [0.542, 0.777, 0.249], [0.933, 0.000, 0.743], [0.998, 0.500, 0.232]]
}